--- a ---
Here is a geometry-optimized KRbAg2 structure from the Alexandria database. Energies are from PBE.

**Volume**: 545 Å³ per cell
**SG**: R3m (160)
**Magnetic moment**: 0.0 μB per cell

abc: 4.955 4.955 25.648
angles: 90.00 90.00 120.00
Atoms (fractional coordinates):
1 K 0.000 0.000 0.000
2 K 0.333 0.667 0.667
3 K 0.667 0.333 0.333
4 Rb 0.000 0.000 0.169
5 Rb 0.333 0.667 0.836
6 Rb 0.667 0.333 0.503
7 Ag 0.000 0.000 0.592
8 Ag 0.000 0.000 0.744
9 Ag 0.333 0.667 0.259
10 Ag 0.333 0.667 0.411
11 Ag 0.667 0.333 0.077
12 Ag 0.667 0.333 0.925

***

--- b ---
Here is a geometry-optimized KRbAg2 structure from the Alexandria database. Energies are from PBE.

**Volume**: 734 Å³ per cell
**SG**: I-42d (122)
**Magnetic moment**: 0.0 μB per cell

abc: 9.172 9.172 8.728
angles: 90.00 90.00 90.00
Atoms (fractional coordinates):
1 K 0.000 0.000 0.000
2 K 0.000 0.500 0.250
3 K 0.500 0.000 0.750
4 K 0.500 0.500 0.500
5 Rb 0.000 0.000 0.500
6 Rb 0.000 0.500 0.750
7 Rb 0.500 0.000 0.250
8 Rb 0.500 0.500 0.000
9 Ag 0.236 0.250 0.125
10 Ag 0.250 0.736 0.375
11 Ag 0.250 0.764 0.875
12 Ag 0.264 0.250 0.625
13 Ag 0.736 0.750 0.625
14 Ag 0.750 0.236 0.875
15 Ag 0.750 0.264 0.375
16 Ag 0.764 0.750 0.125

***

Relative energies, meV per atom: a 0; b 62.